No. 1
Compound: Ho2ZnS
Source: Alexandria via LeMat-Bulk
Functional: PBE-GGA
Structure: relaxed

Lattice parameters (Å, degrees): 3.8594 22.3312 4.0883 90.00 90.00 90.00
With the nearest neighbours (Å) after each atom.
Space group Cmcm (No. 63)
One atom of each set of equivalent atoms:
Ho 0.0000 0.0730 0.2500 (multiplicity 4)  1 S 2.70, 4 Zn 2.92
Ho 0.0000 0.3150 0.2500 (multiplicity 4)  5 S 2.70-2.82
Zn 0.0000 0.4618 0.2500 (multiplicity 4)  2 Zn 2.66, 4 Ho 2.92
S 0.0000 0.1940 0.2500 (multiplicity 4)  6 Ho 2.70-2.82

Summary:
**Formation energy (no corrections)**: -1.162 eV per atom
**Crystal system**: orthorhombic

---

No. 2
Compound: PmY3Rh2
Source: Alexandria via LeMat-Bulk
Functional: PBE-GGA
Structure: relaxed

Lattice parameters (Å, degrees): 6.7981 13.6791 7.1052 90.00 90.00 90.00
With the nearest neighbours (Å) after each atom.
Space group Ibam (No. 72)
One atom of each set of equivalent atoms:
Pm 0.0000 0.0000 0.0000 (multiplicity 4)  2 Rh 2.72
Y 0.0000 0.2354 0.2500 (multiplicity 8)  4 Rh 2.87-2.96
Y 0.0000 0.5000 0.2500 (multiplicity 4)  4 Rh 2.97
Rh 0.2119 0.3618 0.0000 (multiplicity 8)  1 Pm 2.72, 6 Y 2.87-2.97

Summary:
**Formation energy from the elements**: -0.529 eV/atom
**Crystal system**: orthorhombic

---

Copy entry 2 word for word.
Compound: PmY3Rh2
Source: Alexandria via LeMat-Bulk
Functional: PBE-GGA
Structure: relaxed

Lattice parameters (Å, degrees): 6.7981 13.6791 7.1052 90.00 90.00 90.00
With the nearest neighbours (Å) after each atom.
Space group Ibam (No. 72)
One atom of each set of equivalent atoms:
Pm 0.0000 0.0000 0.0000 (multiplicity 4)  2 Rh 2.72
Y 0.0000 0.2354 0.2500 (multiplicity 8)  4 Rh 2.87-2.96
Y 0.0000 0.5000 0.2500 (multiplicity 4)  4 Rh 2.97
Rh 0.2119 0.3618 0.0000 (multiplicity 8)  1 Pm 2.72, 6 Y 2.87-2.97

Summary:
**Formation energy from the elements**: -0.529 eV/atom
**Crystal system**: orthorhombic